Compound: SrIr3Os
Source: the Alexandria database
Functional: PBE
Structure: relaxed

```
data_SrIr3Os
_cell_length_a 4.8265
_cell_length_b 4.8265
_cell_length_c 4.8265
_cell_angle_alpha 90.00
_cell_angle_beta 90.00
_cell_angle_gamma 90.00
_symmetry_space_group_name_H-M 'P 1'
_symmetry_Int_Tables_number 1
_symmetry_space_group_name_Hall 'P 1'
loop_
_atom_site_label
_atom_site_type_symbol
_atom_site_fract_x
_atom_site_fract_y
_atom_site_fract_z
_atom_site_occupancy
Sr1 Sr 0.0000 0.0000 0.0000 1
Ir1 Ir 0.0000 0.5000 0.5000 1
Ir2 Ir 0.5000 0.0000 0.5000 1
Ir3 Ir 0.5000 0.5000 0.0000 1
Os1 Os 0.5000 0.5000 0.5000 1
```

Computed properties:
The volume comes out at 112.43 Å³ per cell. The calculation puts the energy above the most stable polymorph in this dataset at 0 meV per atom. As for the symmetry: Pm-3m, No. 221.

Compound: LaY2V
Source: the Alexandria database
Functional: PBE
Structure: relaxed

```
data_LaY2V
_cell_length_a 6.9319
_cell_length_b 6.9319
_cell_length_c 6.9319
_cell_angle_alpha 102.81
_cell_angle_beta 102.81
_cell_angle_gamma 123.81
_symmetry_space_group_name_H-M 'P 1'
_symmetry_Int_Tables_number 1
_symmetry_space_group_name_Hall 'P 1'
loop_
_atom_site_label
_atom_site_type_symbol
_atom_site_fract_x
_atom_site_fract_y
_atom_site_fract_z
_atom_site_occupancy
La1 La 0.0000 0.0000 0.0000 1
La2 La 0.7500 0.2500 0.5000 1
Y1 Y 0.1763 0.6250 0.0513 1
Y2 Y 0.3750 0.4263 0.5513 1
Y3 Y 0.5737 0.1250 0.9487 1
Y4 Y 0.8750 0.8237 0.4487 1
V1 V 0.2500 0.7500 0.5000 1
V2 V 0.5000 0.5000 0.0000 1
```

Computed properties:
The volume comes out at 244.14 Å³ per cell. The calculation puts the energy above the most stable polymorph in this dataset at 186 meV per atom. As for the symmetry: I-42d, No. 122.

Compound: CsReOs
Source: the Alexandria database
Functional: PBE
Structure: relaxed

```
data_CsReOs
_cell_length_a 7.4277
_cell_length_b 7.4277
_cell_length_c 7.4277
_cell_angle_alpha 154.79
_cell_angle_beta 154.79
_cell_angle_gamma 35.95
_symmetry_space_group_name_H-M 'P 1'
_symmetry_Int_Tables_number 1
_symmetry_space_group_name_Hall 'P 1'
loop_
_atom_site_label
_atom_site_type_symbol
_atom_site_fract_x
_atom_site_fract_y
_atom_site_fract_z
_atom_site_occupancy
Cs1 Cs 0.0000 0.0000 0.0000 1
Re1 Re 0.7134 0.7134 0.0000 1
Os1 Os 0.2880 0.2880 0.0000 1
```

Computed properties:
The volume comes out at 74.23 Å³ per cell. The calculation puts the energy above the most stable polymorph in this dataset at 431 meV per atom. As for the symmetry: I4mm, No. 107.

Compound: Pm12Er7Zr
Source: the Alexandria database
Functional: PBE
Structure: relaxed

```
data_Pm12Er7Zr
_cell_length_a 11.4594
_cell_length_b 11.4594
_cell_length_c 11.4594
_cell_angle_alpha 116.88
_cell_angle_beta 116.88
_cell_angle_gamma 116.88
_symmetry_space_group_name_H-M 'P 1'
_symmetry_Int_Tables_number 1
_symmetry_space_group_name_Hall 'P 1'
loop_
_atom_site_label
_atom_site_type_symbol
_atom_site_fract_x
_atom_site_fract_y
_atom_site_fract_z
_atom_site_occupancy
Pm1 Pm 0.0000 0.4131 0.5869 1
Pm2 Pm 0.0000 0.5869 0.4131 1
Pm3 Pm 0.0747 0.0747 0.4276 1
Pm4 Pm 0.0747 0.4276 0.0747 1
Pm5 Pm 0.4131 0.0000 0.5869 1
Pm6 Pm 0.4131 0.5869 0.0000 1
Pm7 Pm 0.4276 0.0747 0.0747 1
Pm8 Pm 0.5724 0.9253 0.9253 1
Pm9 Pm 0.5869 0.0000 0.4131 1
Pm10 Pm 0.5869 0.4131 0.0000 1
Pm11 Pm 0.9253 0.5724 0.9253 1
Pm12 Pm 0.9253 0.9253 0.5724 1
Er1 Er 0.0000 0.0000 0.0000 1
Er2 Er 0.1431 0.3837 0.3837 1
Er3 Er 0.3837 0.1431 0.3837 1
Er4 Er 0.3837 0.3837 0.1431 1
Er5 Er 0.6163 0.6163 0.8569 1
Er6 Er 0.6163 0.8569 0.6163 1
Er7 Er 0.8569 0.6163 0.6163 1
Zr1 Zr 0.5000 0.5000 0.5000 1
```

Computed properties:
The volume comes out at 675.96 Å³ per cell. As for the symmetry: R-3m, No. 166.

Calculated energy in order - -7.0321, -6.2010, -6.9989, -4.6522 eV/atom
Calculated E_form in order - 866.8, 542.5, 1178.3, 222.6 meV/atom